! KFeAs2 GGA-PBE relaxed; values from VASP
! Space group: Cmmm, No. 65
! ΔH_f (0 K): 0.487 eV/atom
! Energy above the lowest structure with this stoichiometry: 0.631 eV/atom
! Volume: 20.31 Å³/atom
&SYSTEM
  ibrav = 0, nat = 8, ntyp = 3
/
ATOMIC_SPECIES
K 39.10 K.upf
Fe 55.84 Fe.upf
As 74.92 As.upf
ATOMIC_POSITIONS angstrom
K 0.000 0.000 0.000
K 3.108 4.633 0.000
Fe 0.000 4.633 0.000
Fe 3.108 0.000 0.000
As 1.554 2.317 1.410
As 1.554 6.950 1.410
As 4.663 2.317 1.410
As 4.663 6.950 1.410
CELL_PARAMETERS angstrom
6.217 0.000 0.000
0.000 9.267 0.000
0.000 0.000 2.821



! PmZrBiPd GGA-PBE relaxed; values from VASP
! Space group: F-43m, No. 216
! ΔH_f (0 K): -0.416 eV/atom
! Volume: 24.26 Å³/atom
&SYSTEM
  ibrav = 0, nat = 16, ntyp = 4
/
ATOMIC_SPECIES
Pm 145.00 Pm.upf
Zr 91.22 Zr.upf
Bi 208.98 Bi.upf
Pd 106.42 Pd.upf
ATOMIC_POSITIONS angstrom
Pm 0.000 0.000 0.000
Pm 0.000 3.647 3.647
Pm 3.647 0.000 3.647
Pm 3.647 3.647 0.000
Zr 0.000 0.000 3.647
Zr 0.000 3.647 0.000
Zr 3.647 0.000 0.000
Zr 3.647 3.647 3.647
Bi 1.824 1.824 1.824
Bi 1.824 5.471 5.471
Bi 5.471 1.824 5.471
Bi 5.471 5.471 1.824
Pd 1.824 1.824 5.471
Pd 1.824 5.471 1.824
Pd 5.471 1.824 1.824
Pd 5.471 5.471 5.471
CELL_PARAMETERS angstrom
7.294 0.000 0.000
0.000 7.294 0.000
0.000 0.000 7.294



! Tb5Tm4Pu GGA-PBE relaxed; values from VASP
! Space group: I4/mmm, No. 139
! ΔH_f (0 K): 0.262 eV/atom
! Energy above the lowest structure with this stoichiometry: 0.208 eV/atom
! Volume: 31.41 Å³/atom
&SYSTEM
  ibrav = 0, nat = 10, ntyp = 3
/
ATOMIC_SPECIES
Tb 158.93 Tb.upf
Tm 168.93 Tm.upf
Pu 244.00 Pu.upf
ATOMIC_POSITIONS angstrom
Tb 0.000 0.000 0.000
Tb 3.394 3.394 0.000
Tb 1.989 -1.989 2.710
Tb -1.989 1.989 2.710
Tb 1.989 1.989 2.710
Tm 3.536 0.000 0.000
Tm 7.230 0.000 0.000
Tm 0.000 3.536 0.000
Tm 0.000 7.230 0.000
Pu 0.000 0.000 2.710
CELL_PARAMETERS angstrom
-5.383 5.383 2.710
5.383 -5.383 2.710
5.383 5.383 -2.710



! Th4TcSeS2 GGA-PBE relaxed; values from VASP
! Space group: P2/m, No. 10
! Energy relative to the elements, uncorrected: -1285 meV per atom
! Volume: 25.26 Å³/atom
&SYSTEM
  ibrav = 0, nat = 8, ntyp = 4
/
ATOMIC_SPECIES
Th 232.04 Th.upf
Tc 98.00 Tc.upf
Se 78.96 Se.upf
S 32.06 S.upf
ATOMIC_POSITIONS angstrom
Th 1.177 0.000 1.620
Th 0.044 2.029 5.339
Th 4.778 2.029 1.623
Th 3.645 0.000 5.342
Tc 0.000 2.029 0.000
Se -1.166 0.000 3.481
S 3.577 0.000 0.000
S 2.411 2.029 3.481
CELL_PARAMETERS angstrom
7.153 0.000 0.000
0.000 4.057 0.000
-2.331 0.000 6.962



! Y4Cd3Pb GGA-PBE relaxed; values from VASP
! Space group: Pmma, No. 51
! ΔH_f (0 K): -0.397 eV/atom
! Volume: 26.74 Å³/atom
&SYSTEM
  ibrav = 0, nat = 16, ntyp = 3
/
ATOMIC_SPECIES
Y 88.91 Y.upf
Cd 112.41 Cd.upf
Pb 207.20 Pb.upf
ATOMIC_POSITIONS angstrom
Y 0.000 1.846 0.000
Y 0.000 5.668 0.000
Y 2.669 1.846 2.664
Y 2.669 5.668 2.664
Y 5.337 1.846 0.000
Y 5.337 5.668 0.000
Y 8.006 1.846 2.672
Y 8.006 5.668 2.672
Cd 0.000 0.000 2.668
Cd 2.669 0.000 5.331
Cd 2.669 3.757 5.331
Cd 5.337 0.000 2.668
Cd 8.006 0.000 0.005
Cd 8.006 3.757 0.004
Pb 0.000 3.757 2.668
Pb 5.337 3.757 2.668
CELL_PARAMETERS angstrom
10.674 0.000 0.000
0.000 7.513 0.000
0.000 0.000 5.336



! Na2CaSi2 GGA-PBE relaxed; values from VASP
! Space group: P4/mbm, No. 127
! Energy above the lowest structure with this stoichiometry: 0.120 eV/atom
! Energy relative to the elements, uncorrected: 10 meV per atom
! Volume: 26.67 Å³/atom
&SYSTEM
  ibrav = 0, nat = 10, ntyp = 3
/
ATOMIC_SPECIES
Na 22.99 Na.upf
Ca 40.08 Ca.upf
Si 28.09 Si.upf
ATOMIC_POSITIONS angstrom
Na 1.274 2.493 0.000
Na 2.493 6.260 0.000
Na 5.042 1.274 0.000
Na 6.260 5.042 0.000
Ca 0.000 0.000 2.349
Ca 3.767 3.767 2.349
Si 0.799 4.566 2.349
Si 2.969 0.799 2.349
Si 4.566 6.736 2.349
Si 6.736 2.969 2.349
CELL_PARAMETERS angstrom
7.534 0.000 0.000
0.000 7.534 0.000
0.000 0.000 4.697



! Mn2Zn2Bi GGA-PBE relaxed; values from VASP
! Space group: I4/mmm, No. 139
! ΔH_f (0 K): 0.487 eV/atom
! Energy above the lowest structure with this stoichiometry: 0.179 eV/atom
! Volume: 17.86 Å³/atom
&SYSTEM
  ibrav = 0, nat = 10, ntyp = 3
/
ATOMIC_SPECIES
Mn 54.94 Mn.upf
Zn 65.41 Zn.upf
Bi 208.98 Bi.upf
ATOMIC_POSITIONS angstrom
Mn 0.000 1.605 4.331
Mn 0.000 1.605 12.993
Mn 1.605 0.000 4.331
Mn 1.605 0.000 12.993
Zn 0.000 0.000 2.276
Zn 0.000 0.000 15.047
Zn 1.605 1.605 6.385
Zn 1.605 1.605 10.938
Bi 0.000 0.000 8.662
Bi 1.605 1.605 0.000
CELL_PARAMETERS angstrom
3.211 0.000 0.000
0.000 3.211 0.000
0.000 0.000 17.323



! Co2RuCl GGA-PBE relaxed; values from VASP
! Space group: I4/mmm, No. 139
! Energy above the lowest structure with this stoichiometry: 0.550 eV/atom
! Energy relative to the elements, uncorrected: 902 meV per atom
! Volume: 13.53 Å³/atom
&SYSTEM
  ibrav = 0, nat = 8, ntyp = 3
/
ATOMIC_SPECIES
Co 58.93 Co.upf
Ru 101.07 Ru.upf
Cl 35.45 Cl.upf
ATOMIC_POSITIONS angstrom
Co 0.000 1.807 2.071
Co 0.000 1.807 6.213
Co 1.807 0.000 2.071
Co 1.807 0.000 6.213
Ru 0.000 0.000 0.000
Ru 1.807 1.807 4.142
Cl 0.000 0.000 4.142
Cl 1.807 1.807 0.000
CELL_PARAMETERS angstrom
3.615 0.000 0.000
0.000 3.615 0.000
0.000 0.000 8.284



! SmAgSnAu GGA-PBE relaxed; values from VASP
! Space group: F-43m, No. 216
! ΔH_f (0 K): -0.539 eV/atom
! Volume: 22.54 Å³/atom
&SYSTEM
  ibrav = 0, nat = 16, ntyp = 4
/
ATOMIC_SPECIES
Sm 150.36 Sm.upf
Ag 107.87 Ag.upf
Sn 118.71 Sn.upf
Au 196.97 Au.upf
ATOMIC_POSITIONS angstrom
Sm 0.000 0.000 0.000
Sm 0.000 3.559 3.559
Sm 3.559 0.000 3.559
Sm 3.559 3.559 0.000
Ag 1.779 1.779 1.779
Ag 1.779 5.338 5.338
Ag 5.338 1.779 5.338
Ag 5.338 5.338 1.779
Sn 0.000 0.000 3.559
Sn 0.000 3.559 0.000
Sn 3.559 0.000 0.000
Sn 3.559 3.559 3.559
Au 1.779 1.779 5.338
Au 1.779 5.338 1.779
Au 5.338 1.779 1.779
Au 5.338 5.338 5.338
CELL_PARAMETERS angstrom
7.118 0.000 0.000
0.000 7.118 0.000
0.000 0.000 7.118



! Tm2PuCd GGA-PBE relaxed; values from VASP
! Space group: Fm-3m, No. 225
! ΔH_f (0 K): 0.074 eV/atom
! Energy above the lowest structure with this stoichiometry: 0.141 eV/atom
! Volume: 26.99 Å³/atom
&SYSTEM
  ibrav = 0, nat = 16, ntyp = 3
/
ATOMIC_SPECIES
Tm 168.93 Tm.upf
Pu 244.00 Pu.upf
Cd 112.41 Cd.upf
ATOMIC_POSITIONS angstrom
Tm 1.890 1.890 1.890
Tm 1.890 1.890 5.669
Tm 1.890 5.669 1.890
Tm 1.890 5.669 5.669
Tm 5.669 1.890 1.890
Tm 5.669 1.890 5.669
Tm 5.669 5.669 1.890
Tm 5.669 5.669 5.669
Pu 0.000 0.000 0.000
Pu 0.000 3.779 3.779
Pu 3.779 0.000 3.779
Pu 3.779 3.779 0.000
Cd 0.000 0.000 3.779
Cd 0.000 3.779 0.000
Cd 3.779 0.000 0.000
Cd 3.779 3.779 3.779
CELL_PARAMETERS angstrom
7.559 0.000 0.000
0.000 7.559 0.000
0.000 0.000 7.559



! Tb5YPt6 GGA-PBE relaxed; values from VASP
! Space group: C2/m, No. 12
! ΔH_f (0 K): -1.202 eV/atom
! Volume: 21.57 Å³/atom
&SYSTEM
  ibrav = 0, nat = 12, ntyp = 3
/
ATOMIC_SPECIES
Tb 158.93 Tb.upf
Y 88.91 Y.upf
Pt 195.08 Pt.upf
ATOMIC_POSITIONS angstrom
Tb 0.000 0.000 0.000
Tb 1.581 0.000 3.157
Tb 4.729 0.000 1.582
Tb 9.440 0.000 3.154
Tb 12.587 0.000 1.578
Y 7.865 0.000 0.000
Pt 3.939 1.740 3.947
Pt 7.084 1.744 2.368
Pt 10.229 1.740 0.789
Pt 3.939 -1.740 3.947
Pt 7.084 -1.744 2.368
Pt 10.229 -1.740 0.789
CELL_PARAMETERS angstrom
7.865 -3.476 0.000
7.865 3.476 0.000
-1.562 0.000 4.736



! NdBe4Sn3O12 GGA-PBE relaxed; values from VASP
! Space group: R32, No. 155
! Energy relative to the elements, uncorrected: -2138 meV per atom
! Volume: 11.81 Å³/atom
&SYSTEM
  ibrav = 0, nat = 20, ntyp = 4
/
ATOMIC_SPECIES
Nd 144.24 Nd.upf
Be 9.01 Be.upf
Sn 118.71 Sn.upf
O 16.00 O.upf
ATOMIC_POSITIONS angstrom
Nd 0.000 0.000 0.000
Be -2.253 -3.902 3.912
Be 0.000 0.000 3.912
Be -2.253 3.902 3.912
Be 4.506 0.000 3.912
Sn -2.833 -0.998 2.608
Sn 2.281 -1.955 2.608
Sn 0.553 2.952 2.608
O -3.136 -2.642 3.798
O -4.171 0.000 3.912
O -0.720 -4.037 4.027
O -1.543 0.000 3.912
O -3.136 2.642 4.027
O 2.085 -3.612 3.912
O 0.772 -1.337 3.912
O -0.720 4.037 3.798
O 0.772 1.337 3.912
O 3.856 -1.395 3.798
O 2.085 3.612 3.912
O 3.856 1.395 4.027
CELL_PARAMETERS angstrom
5.114 2.952 2.608
-5.114 2.952 2.608
0.000 -5.905 2.608